# 1
Cr2CdSBr | PBE | optimized geometry

DOS(E_F) (states/eV/f.u.): 2.55
E (eV per atom): -4.235
SG: P4/mmm (123)

Cell lengths 4.9390, 4.9390, 5.5645 Å; angles 90.00, 90.00, 90.00 degrees
With the nearest neighbours (Å) after each atom.
Fractional positions:
Cr: 0.0000 0.5000 0.0000  2 Br 2.47
Cr: 0.5000 0.0000 0.0000  2 Br 2.47
S: 0.5000 0.5000 0.5000  4 Cd 3.49, 8 Cr 3.72
Br: 0.0000 0.0000 0.0000  4 Cr 2.47
Cd: 0.0000 0.0000 0.5000  2 Br 2.78

---

# 2
YTlIr2 | PBE | optimized geometry

DOS(E_F) (states/eV/f.u.): 4.33
E (eV per atom): -6.551
SG: P4mm (99)
Energy relative to the elements (kcal/mol of atoms): 2.004
Distance to the lowest polymorph of the same formula (meV/atom): 344

Cell lengths 3.1382, 3.1382, 8.0346 Å; angles 90.00, 90.00, 89.97 degrees
With the nearest neighbours (Å) after each atom.
Fractional positions:
Ir: 0.0000 0.0000 0.0193  4 Ir 2.78, 4 Y 2.90
Ir: 0.5000 0.5000 0.2286  4 Ir 2.78, 4 Tl 2.92
Tl: 0.0000 0.0000 0.4649  4 Ir 2.92, 4 Tl 3.14
Y: 0.5000 0.5000 0.7872  4 Ir 2.90, 4 Y 3.14

---

# 3
ScInP2 | PBE | optimized geometry

DOS(E_F) (states/eV/f.u.): 3.80
E (eV per atom): -4.831
SG: F-43m (216)
Energy relative to the elements (kcal/mol of atoms): 3.263

Cell lengths 4.7779, 4.7779, 4.7779 Å; angles 60.00, 60.00, 60.00 degrees
With the nearest neighbours (Å) after each atom.
Fractional positions:
In: 0.5000 0.5000 0.5000  4 Sc 2.93, 4 P 2.93
P: 0.0000 0.0000 0.0000  4 P 2.93, 4 Sc 2.93
P: 0.7500 0.7500 0.7500  4 In 2.93, 4 P 2.93
Sc: 0.2500 0.2500 0.2500  4 In 2.93, 4 P 2.93

---

Among the records above, which one has the highest DOS(E_F)? YTlIr2

---

Among the records above, which one has the lowest DOS(E_F)? Cr2CdSBr